Pr6Pt2Br3N | PBE | optimized geometry

Cell lengths 7.020, 7.020, 8.118 Å; angles 98.26, 98.26, 119.90 degrees
Sites, in units of the cell vectors:
Pr  0.065  0.364  0.196
Pr  0.233  0.233  0.802
Pr  0.364  0.065  0.196
Pr  0.636  0.935  0.804
Pr  0.767  0.767  0.198
Pr  0.935  0.636  0.804
Pt  0.334  0.666  0.000
Pt  0.666  0.334  0.000
Br  0.172  0.828  0.500
Br  0.500  0.500  0.500
Br  0.828  0.172  0.500
N  0.000  0.000  0.000

Computed properties:
formation energy (no corrections) = -1.208 eV per atom
N(E_F) = 6.25 states/eV/f.u.
energy = -5.7166 eV per atom

LaFePb2 | PBE | optimized geometry

Cell lengths 5.476, 5.476, 4.396 Å; angles 90.00, 90.00, 123.82 degrees
Sites, in units of the cell vectors:
La  0.000  0.000  0.000
Fe  0.500  0.500  0.000
Pb  0.335  0.665  0.500
Pb  0.665  0.335  0.500

Computed properties:
N(E_F) = 2.82 states/eV/f.u.
formation enthalpy at 0 K = 1 meV/atom
energy = -5.2004 eV per atom

RbDyAgS2 | PBE | optimized geometry

Cell lengths 7.661, 5.077, 7.737 Å; angles 90.00, 98.89, 90.00 degrees
Sites, in units of the cell vectors:
Rb  0.000  0.136  0.250
Rb  0.000  0.864  0.750
Dy  0.500  0.494  0.750
Dy  0.500  0.506  0.250
Ag  0.500  0.000  0.000
Ag  0.500  0.000  0.500
S  0.268  0.375  0.966
S  0.268  0.625  0.466
S  0.732  0.375  0.534
S  0.732  0.625  0.034

Computed properties:
formation energy (no corrections) = -1.104 eV per atom
N(E_F) = 1.09 states/eV/f.u.
energy = -4.4395 eV per atom

PaTl2InS5 | PBE | optimized geometry

Cell lengths 9.414, 9.414, 14.126 Å; angles 90.00, 90.00, 154.90 degrees
Sites, in units of the cell vectors:
Pa  0.217  0.783  0.500
Pa  0.783  0.217  0.000
Tl  0.098  0.902  0.138
Tl  0.123  0.877  0.794
Tl  0.877  0.123  0.294
Tl  0.902  0.098  0.638
In  0.439  0.561  0.903
In  0.561  0.439  0.403
S  0.063  0.937  0.511
S  0.281  0.719  0.118
S  0.299  0.701  0.873
S  0.351  0.649  0.475
S  0.499  0.501  0.256
S  0.501  0.499  0.756
S  0.649  0.351  0.975
S  0.701  0.299  0.373
S  0.719  0.281  0.618
S  0.937  0.063  0.011

Computed properties:
formation energy (no corrections) = -0.886 eV per atom
energy = -5.0638 eV per atom

KLaCu2 | PBE | optimized geometry

Cell lengths 6.774, 6.774, 6.774 Å; angles 106.38, 106.38, 115.85 degrees
Sites, in units of the cell vectors:
K  0.000  0.000  0.000
K  0.750  0.250  0.500
La  0.250  0.750  0.500
La  0.500  0.500  0.000
Cu  0.149  0.625  0.024
Cu  0.375  0.399  0.524
Cu  0.601  0.125  0.976
Cu  0.875  0.851  0.476

Computed properties:
N(E_F) = 3.89 states/eV/f.u.
formation enthalpy at 0 K = 503 meV/atom
energy = -3.0513 eV per atom

Pr5Nd2Ho4 | PBE | optimized geometry

Cell lengths 12.860, 12.860, 12.860 Å; angles 164.07, 137.78, 45.40 degrees
Sites, in units of the cell vectors:
Pr  0.000  0.000  0.000
Pr  0.056  0.356  0.700
Pr  0.343  0.644  0.700
Pr  0.657  0.356  0.300
Pr  0.944  0.644  0.300
Nd  0.268  0.768  0.500
Nd  0.732  0.232  0.500
Ho  0.315  0.500  0.815
Ho  0.404  0.904  0.500
Ho  0.596  0.096  0.500
Ho  0.685  0.500  0.185

Computed properties:
N(E_F) = 16.14 states/eV/f.u.
formation enthalpy at 0 K = 169 meV/atom
energy = -4.5353 eV per atom

GdYCuSn | PBE | optimized geometry

Cell lengths 5.172, 5.172, 5.172 Å; angles 60.00, 60.00, 60.00 degrees
Sites, in units of the cell vectors:
Gd  0.000  0.000  0.000
Y  0.500  0.500  0.500
Cu  0.750  0.750  0.750
Sn  0.250  0.250  0.250

Computed properties:
N(E_F) = 3.34 states/eV/f.u.
formation enthalpy at 0 K = -457 meV/atom
energy = -7.6176 eV per atom

TlRuW2 | PBE | optimized geometry

Cell lengths 5.965, 5.965, 5.965 Å; angles 101.72, 101.72, 126.42 degrees
Sites, in units of the cell vectors:
Tl  0.000  0.000  0.000
Tl  0.750  0.250  0.500
Ru  0.250  0.750  0.500
Ru  0.500  0.500  0.000
W  0.176  0.625  0.051
W  0.375  0.426  0.551
W  0.574  0.125  0.949
W  0.875  0.824  0.449

Computed properties:
N(E_F) = 7.40 states/eV/f.u.
formation enthalpy at 0 K = 1104 meV/atom
energy = -8.2836 eV per atom

Ba2PmScSe5 | PBE | optimized geometry

Cell lengths 9.274, 9.274, 13.858 Å; angles 90.00, 90.00, 152.32 degrees
Sites, in units of the cell vectors:
Ba  0.106  0.894  0.500
Ba  0.141  0.859  0.121
Ba  0.859  0.141  0.621
Ba  0.894  0.106  0.000
Pm  0.213  0.787  0.830
Pm  0.787  0.213  0.330
Sc  0.472  0.528  0.264
Sc  0.528  0.472  0.764
Se  0.050  0.950  0.860
Se  0.283  0.717  0.470
Se  0.324  0.676  0.193
Se  0.375  0.625  0.811
Se  0.490  0.510  0.587
Se  0.510  0.490  0.087
Se  0.625  0.375  0.311
Se  0.676  0.324  0.693
Se  0.717  0.283  0.970
Se  0.950  0.050  0.360

Computed properties:
formation energy (no corrections) = -1.913 eV per atom
N(E_F) = 0.00 states/eV/f.u.
energy = -5.5071 eV per atom

Cs2PuTlF6 | PBE | optimized geometry

Cell lengths 6.959, 7.071, 12.067 Å; angles 90.00, 125.15, 90.00 degrees
Sites, in units of the cell vectors:
Cs  0.241  0.036  0.251
Cs  0.241  0.464  0.751
Cs  0.759  0.536  0.249
Cs  0.759  0.964  0.749
Pu  0.500  0.000  0.000
Pu  0.500  0.500  0.500
Tl  0.000  0.000  0.500
Tl  0.000  0.500  0.000
F  0.196  0.189  0.957
F  0.196  0.311  0.457
F  0.269  0.739  0.953
F  0.269  0.761  0.453
F  0.358  0.035  0.775
F  0.358  0.465  0.275
F  0.642  0.535  0.725
F  0.642  0.965  0.225
F  0.731  0.239  0.547
F  0.731  0.261  0.047
F  0.804  0.689  0.543
F  0.804  0.811  0.043

Computed properties:
formation energy (no corrections) = -2.913 eV per atom
N(E_F) = 7.63 states/eV/f.u.
energy = -5.8759 eV per atom

MnZnBr2 | PBE | optimized geometry

Cell lengths 5.122, 5.122, 5.122 Å; angles 60.00, 60.00, 60.00 degrees
Sites, in units of the cell vectors:
Mn  0.000  0.000  0.000
Zn  0.750  0.750  0.750
Br  0.250  0.250  0.250
Br  0.500  0.500  0.500

Computed properties:
formation energy (no corrections) = 0.354 eV per atom
N(E_F) = 0.44 states/eV/f.u.
energy = -3.0931 eV per atom

Tm2InSi3Pt4 | PBE | optimized geometry

Cell lengths 4.112, 4.112, 10.756 Å; angles 90.00, 90.00, 90.00 degrees
Sites, in units of the cell vectors:
Tm  0.000  0.500  0.238
Tm  0.500  0.000  0.762
In  0.000  0.000  0.500
Si  0.000  0.500  0.873
Si  0.500  0.000  0.127
Si  0.500  0.500  0.500
Pt  0.000  0.000  0.000
Pt  0.000  0.500  0.657
Pt  0.500  0.000  0.343
Pt  0.500  0.500  0.000

Computed properties:
formation energy (no corrections) = -0.952 eV per atom
N(E_F) = 4.75 states/eV/f.u.
energy = -6.1636 eV per atom

Which calculated density belongs to each record? In order, 7.44; 9.23; 4.69; 5.72; 4.27; 7.01; 7.27; 14.66; 5.15; 5.66; 4.89; 12.03 Mg/m³.